Entry 1:
Computed, not measured: a crystal of Ba2CaMn relaxed with PBEsol at the meta-GGA SCAN level of DFT.

The structure in extended XYZ format:
```
4
Lattice="3.980 0.000 0.000 0.000 3.980 0.000 0.000 0.000 9.967" Properties=species:S:1:pos:R:3 pbc="T T T"
Ba 0.000 0.000 0.000
Ba 1.990 1.990 3.391
Ca 0.000 0.000 6.360
Mn 1.990 1.990 7.919
```

Output
DFT formation energy in eV per atom: 0.15
Energy above the lowest structure with this stoichiometry in kcal/mol of atoms: 0.000
Crystal system: tetragonal
Energy in eV/atom: -26.600
Theoretical density in g cm⁻³: 3.9
DOS at the Fermi energy in states/eV/f.u.: 4.1


Entry 2:
Computed, not measured: a crystal of LiLa2Co relaxed with PBEsol at the meta-GGA SCAN level of DFT.

The structure in extended XYZ format:
```
8
Lattice="3.366 0.000 0.000 0.000 4.618 0.000 0.000 0.000 12.220" Properties=species:S:1:pos:R:3 pbc="T T T"
Li 0.000 0.000 0.000
Li 1.683 2.309 6.110
La 0.000 0.000 7.826
La 0.000 2.309 10.177
La 1.683 0.000 4.067
La 1.683 2.309 1.716
Co 0.000 2.309 3.929
Co 1.683 0.000 10.039
```

Output
DFT formation energy in eV per atom: 0.15
Crystal system: orthorhombic
Energy in eV/atom: -26.326
Theoretical density in g cm⁻³: 6.0
DOS at the Fermi energy in states/eV/f.u.: 3.4